Model a:
## DyY3Sc3 (GGA-PBE)

Data for a relaxed structure of DyY3Sc3.

Unit cell a=14.123 b=14.123 c=14.123 alpha=24.37 beta=24.37 gamma=24.37
Fractional coordinates of all 14 atoms:
Dy 0.167 0.167 0.167
Dy 0.833 0.833 0.833
Y 0.096 0.430 0.763
Y 0.237 0.904 0.570
Y 0.430 0.763 0.096
Y 0.570 0.237 0.904
Y 0.763 0.096 0.430
Y 0.904 0.570 0.237
Sc 0.032 0.697 0.364
Sc 0.303 0.636 0.968
Sc 0.364 0.032 0.697
Sc 0.636 0.968 0.303
Sc 0.697 0.364 0.032
Sc 0.968 0.303 0.636

Magnetic moment   0.00 μB/f.u.

Model b:
## DyY3Sc3 (GGA-PBE)

Data for a relaxed structure of DyY3Sc3.

Unit cell a=9.262 b=9.262 c=5.462 alpha=90.00 beta=90.00 gamma=120.00
Fractional coordinates of all 14 atoms:
Dy 0.333 0.667 0.250
Dy 0.667 0.333 0.750
Y 0.048 0.802 0.250
Y 0.198 0.246 0.250
Y 0.246 0.048 0.750
Y 0.754 0.952 0.250
Y 0.802 0.754 0.750
Y 0.952 0.198 0.750
Sc 0.096 0.613 0.750
Sc 0.387 0.483 0.750
Sc 0.483 0.096 0.250
Sc 0.517 0.904 0.750
Sc 0.613 0.517 0.250
Sc 0.904 0.387 0.250

Magnetic moment   1.52 μB/f.u.

It comes down to model b, which is 138 meV/atom more stable than the next structure.